# 1
The following is a meta-GGA SCAN calculation of a PBEsol-optimized structure of LiZrCd2, from Alexandria via LeMat-Bulk.

SG ... No. 216
ΔH_f (0 K) ... -0.0977 eV/atom

abc: 4.733 4.733 4.733
angles: 60.00 60.00 60.00
Sites, in units of the cell vectors:
Li 0.000 0.000 0.000
Zr 0.750 0.750 0.750
Cd 0.250 0.250 0.250
Cd 0.500 0.500 0.500

***

# 2
The following is a meta-GGA SCAN calculation of a PBEsol-optimized structure of HoSi3Ir, from Alexandria via LeMat-Bulk.

SG ... No. 107
Formation energy without anion corrections ... -0.8532 eV per atom

abc: 5.677 5.677 5.677
angles: 137.23 137.23 62.08
Sites, in units of the cell vectors:
Ho 0.000 0.000 0.000
Si 0.232 0.732 0.500
Si 0.584 0.584 0.000
Si 0.732 0.232 0.500
Ir 0.347 0.347 0.000

***

# 3
The following is a meta-GGA SCAN calculation of a PBEsol-optimized structure of Te3WN, from Alexandria via LeMat-Bulk.

SG ... No. 221
Formation energy without anion corrections ... 1.4080 eV per atom

abc: 4.567 4.567 4.567
angles: 90.00 90.00 90.00
Sites, in units of the cell vectors:
Te 0.000 0.000 0.500
Te 0.000 0.500 0.000
Te 0.500 0.000 0.000
W 0.500 0.500 0.500
N 0.000 0.000 0.000

***

# 4
The following is a meta-GGA SCAN calculation of a PBEsol-optimized structure of MgMoPd2W, from Alexandria via LeMat-Bulk.

SG ... No. 123
ΔH_f (0 K) ... 1.9156 eV/atom

abc: 4.633 4.633 4.779
angles: 90.00 90.00 90.00
Sites, in units of the cell vectors:
Mg 0.000 0.000 0.000
Mo 0.000 0.000 0.500
Pd 0.000 0.500 0.500
Pd 0.500 0.000 0.500
W 0.500 0.500 0.000

***

# 5
The following is a meta-GGA SCAN calculation of a PBEsol-optimized structure of Al2TcMo, from Alexandria via LeMat-Bulk.

SG ... No. 139
ΔH_f (0 K) ... -0.1519 eV/atom

abc: 4.853 4.853 4.853
angles: 133.99 133.99 67.10
Sites, in units of the cell vectors:
Al 0.250 0.750 0.500
Al 0.750 0.250 0.500
Tc 0.000 0.000 0.000
Mo 0.500 0.500 0.000

***

# 6
The following is a meta-GGA SCAN calculation of a PBEsol-optimized structure of BeMoP2Pt, from Alexandria via LeMat-Bulk.

SG ... No. 123
ΔH_f (0 K) ... 0.8383 eV/atom

abc: 4.620 4.620 4.001
angles: 90.00 90.00 90.00
Sites, in units of the cell vectors:
Be 0.000 0.000 0.000
Mo 0.500 0.500 0.000
P 0.000 0.500 0.500
P 0.500 0.000 0.500
Pt 0.000 0.000 0.500

***

# 7
The following is a meta-GGA SCAN calculation of a PBEsol-optimized structure of CaZrBr, from Alexandria via LeMat-Bulk.

SG ... No. 187
Formation energy without anion corrections ... -0.0151 eV per atom

abc: 4.843 4.843 3.672
angles: 90.00 90.00 120.00
Sites, in units of the cell vectors:
Ca 0.000 0.000 0.000
Zr 0.333 0.667 0.500
Br 0.667 0.333 0.500

***

# 8
The following is a meta-GGA SCAN calculation of a PBEsol-optimized structure of MgTlOs2, from Alexandria via LeMat-Bulk.

SG ... No. 166
ΔH_f (0 K) ... 0.8117 eV/atom

abc: 9.770 9.770 9.770
angles: 16.63 16.63 16.63
Sites, in units of the cell vectors:
Mg 0.000 0.000 0.000
Tl 0.500 0.500 0.500
Os 0.256 0.256 0.256
Os 0.744 0.744 0.744

***

# 9
The following is a meta-GGA SCAN calculation of a PBEsol-optimized structure of Be3CrNi, from Alexandria via LeMat-Bulk.

SG ... No. 221
ΔH_f (0 K) ... 0.2777 eV/atom

abc: 3.869 3.869 3.869
angles: 90.00 90.00 90.00
Sites, in units of the cell vectors:
Be 0.000 0.000 0.500
Be 0.000 0.500 0.000
Be 0.500 0.000 0.000
Cr 0.500 0.500 0.500
Ni 0.000 0.000 0.000

***

# 10
The following is a meta-GGA SCAN calculation of a PBEsol-optimized structure of SrZn2In, from Alexandria via LeMat-Bulk.

SG ... No. 160
ΔH_f (0 K) ... -0.3252 eV/atom

abc: 6.402 6.402 6.402
angles: 39.92 39.92 39.92
Sites, in units of the cell vectors:
Sr 0.000 0.000 0.000
Zn 0.461 0.461 0.461
Zn 0.795 0.795 0.795
In 0.205 0.205 0.205

***

# 11
The following is a meta-GGA SCAN calculation of a PBEsol-optimized structure of La2MnTe, from Alexandria via LeMat-Bulk.

SG ... No. 44
Formation energy without anion corrections ... -0.6158 eV per atom

abc: 6.180 6.180 6.180
angles: 143.33 133.02 61.03
Sites, in units of the cell vectors:
La 0.000 0.000 0.000
La 0.728 0.228 0.500
Mn 0.254 0.754 0.500
Te 0.438 0.438 0.000

***

# 12
The following is a meta-GGA SCAN calculation of a PBEsol-optimized structure of YCoGe3, from Alexandria via LeMat-Bulk.

SG ... No. 221
ΔH_f (0 K) ... -0.1097 eV/atom

abc: 4.547 4.547 4.547
angles: 90.00 90.00 90.00
Sites, in units of the cell vectors:
Y 0.000 0.000 0.000
Co 0.500 0.500 0.500
Ge 0.000 0.500 0.500
Ge 0.500 0.000 0.500
Ge 0.500 0.500 0.000